Density functional theory data (PBE) for an optimized crystal structure of KY2Ru.

Cell lengths 4.0967, 4.0967, 10.3067 Å; angles 100.96, 100.96, 59.85 degrees
With the nearest neighbours (Å) after each atom.
Fractional positions:
1 K 0.0000 0.0000 0.0000  6 K 4.09-4.10, 6 Y 4.30-4.34
2 Y 0.2115 0.2115 0.6394  3 Ru 2.75
3 Y 0.7885 0.7885 0.3606  3 Ru 2.75
4 Ru 0.5000 0.5000 0.5000  6 Y 2.75

Energy of formation from the pure elements, eV/atom: -0.01
Symmetry: C2/m (12)
Relative energy among the computed polymorphs, eV/atom: 0.000
Density, Mg/m³: 3.6



Density functional theory data (PBE) for an optimized crystal structure of K3YRu.

Cell lengths 6.0273, 6.0273, 6.0273 Å; angles 90.00, 90.00, 90.00 degrees
With the nearest neighbours (Å) after each atom.
Fractional positions:
1 K 0.0000 0.0000 0.5000  2 Ru 3.01
2 K 0.0000 0.5000 0.0000  2 Ru 3.01
3 K 0.5000 0.0000 0.0000  2 Ru 3.01
4 Y 0.5000 0.5000 0.5000  12 K 4.26
5 Ru 0.0000 0.0000 0.0000  6 K 3.01

Energy of formation from the pure elements, eV/atom: 1.41
Symmetry: Pm-3m (221)
Relative energy among the computed polymorphs, eV/atom: 0.000
Density, Mg/m³: 2.3



Density functional theory data (PBE) for an optimized crystal structure of KY2Ru.

Cell lengths 10.9267, 10.9267, 10.9267 Å; angles 161.32, 160.46, 27.16 degrees
With the nearest neighbours (Å) after each atom.
Fractional positions:
1 K 0.0000 0.0000 0.0000  4 K 3.55-3.71
2 Y 0.6654 0.6654 0.0000  2 Ru 2.67
3 Y 0.8167 0.3167 0.5000  4 Ru 2.87
4 Ru 0.2559 0.7559 0.5000  6 Y 2.67-2.87

Energy of formation from the pure elements, eV/atom: 0.11
Symmetry: Imm2 (44)
Relative energy among the computed polymorphs, eV/atom: 0.123
Density, Mg/m³: 3.8



Density functional theory data (PBE) for an optimized crystal structure of KY2Ru.

Cell lengths 11.5432, 11.5432, 11.5432 Å; angles 17.38, 17.38, 17.38 degrees
With the nearest neighbours (Å) after each atom.
Fractional positions:
1 K 0.0000 0.0000 0.0000  3 Ru 3.30, 6 K 3.49
2 Y 0.2232 0.2232 0.2232  9 Y 3.49-3.75
3 Y 0.4636 0.4636 0.4636  3 Ru 2.72
4 Ru 0.7432 0.7432 0.7432  3 Y 2.72

Energy of formation from the pure elements, eV/atom: 0.47
Symmetry: R3m (160)
Relative energy among the computed polymorphs, eV/atom: 0.484
Density, Mg/m³: 4.4



Density functional theory data (PBE) for an optimized crystal structure of KY3Ru.

Cell lengths 5.1148, 5.1148, 5.1148 Å; angles 90.00, 90.00, 90.00 degrees
With the nearest neighbours (Å) after each atom.
Fractional positions:
1 K 0.0000 0.0000 0.0000  6 Y 2.56
2 Y 0.0000 0.0000 0.5000  2 K 2.56
3 Y 0.0000 0.5000 0.0000  2 K 2.56
4 Y 0.5000 0.0000 0.0000  2 K 2.56
5 Ru 0.5000 0.5000 0.5000  12 Y 3.62

Energy of formation from the pure elements, eV/atom: 1.73
Symmetry: Pm-3m (221)
Relative energy among the computed polymorphs, eV/atom: 1.717
Density, Mg/m³: 5.0



Density functional theory data (PBE) for an optimized crystal structure of KYZn2Ru.

Cell lengths 5.4207, 5.4207, 6.1823 Å; angles 90.00, 90.00, 90.00 degrees
With the nearest neighbours (Å) after each atom.
Fractional positions:
1 K 0.0000 0.0000 0.0000  2 Y 3.09
2 Y 0.0000 0.0000 0.5000  4 Zn 2.71
3 Zn 0.0000 0.5000 0.5000  2 Y 2.71
4 Zn 0.5000 0.0000 0.5000  2 Y 2.71
5 Ru 0.5000 0.5000 0.0000  4 K 3.83, 8 Zn 4.11

Energy of formation from the pure elements, eV/atom: 1.70
Symmetry: P4/mmm (123)
Density, Mg/m³: 3.3